(1)
This record from the Alexandria database describes YHoSe2 after structural relaxation. The functional is PBE-GGA.

a = 7.0261 Å, b = 7.0261 Å, c = 7.0261 Å
α = 33.75°, β = 33.75°, γ = 33.75°
Fractional positions:
Y 0.0000 0.0000 0.0000
Ho 0.5000 0.5000 0.5000
Se 0.2490 0.2490 0.2490
Se 0.7510 0.7510 0.7510

Calculated total energy = -25.0 eV/cell
Spin magnetization = 0.0 μB/f.u.
Energy above the most stable polymorph in this dataset = 0 meV/atom
ΔE_f (raw) = -168 kJ per mole of atoms

(2)
This record from the Alexandria database describes NaCdSn2 after structural relaxation. The functional is PBE-GGA.

a = 11.2661 Å, b = 11.2661 Å, c = 11.2661 Å
α = 156.78°, β = 156.78°, γ = 33.07°
Fractional positions:
Na 0.0000 0.0000 0.0000
Na 0.7500 0.2500 0.5000
Cd 0.2500 0.7500 0.5000
Cd 0.5000 0.5000 0.0000
Sn 0.1295 0.6250 0.0045
Sn 0.3750 0.3795 0.5045
Sn 0.6205 0.1250 0.9955
Sn 0.8750 0.8705 0.4955

Calculated total energy = -20.4 eV/cell
Energy of formation from the pure elements = 8 meV/atom
Spin magnetization = 0.0 μB/f.u.

(3)
This record from the Alexandria database describes ZrU2C3 after structural relaxation. The functional is PBE-GGA.

a = 7.7580 Å, b = 7.7580 Å, c = 7.7580 Å
α = 154.35°, β = 154.35°, γ = 36.60°
Fractional positions:
Zr 0.0000 0.0000 0.0000
U 0.3359 0.3359 0.0000
U 0.6641 0.6641 0.0000
C 0.1630 0.1630 0.0000
C 0.5000 0.5000 0.0000
C 0.8370 0.8370 0.0000

Calculated total energy = -60.8 eV/cell
Energy of formation from the pure elements = -335 meV/atom
Spin magnetization = 1.5 μB/f.u.